(1)
{"formula": "Ba2MgPN4", "functional": "PBE-GGA", "state": "relaxed", "lattice_angstrom": [[4.8709, 0.0000, 0.0000], [2.4354, 5.6118, 0.0000], [2.4354, 0.0000, 10.5401]], "species": ["P", "Mg", "N", "Ba", "N", "N", "Mg", "N", "N", "N", "P", "N", "Ba", "Ba", "N", "Ba"], "fractional_positions": [[0.2500, 0.5000, 0.5000], [0.7500, 0.5000, 0.5000], [0.3496, 0.8189, 0.0875], [0.5728, 0.5000, 0.8544], [0.1872, 0.3189, 0.4125], [0.4939, 0.3189, 0.5875], [0.0000, 0.0000, 0.0000], [0.8314, 0.8189, 0.9125], [0.4004, 0.6811, 0.4125], [0.9186, 0.6811, 0.5875], [0.5000, 0.0000, 0.0000], [0.5628, 0.1811, 0.0875], [0.1772, 0.0000, 0.6456], [0.9272, 0.5000, 0.1456], [0.2561, 0.1811, 0.9125], [0.8228, 0.0000, 0.3544]], "magmom_total_mub_per_fu": 1.015, "e_form_raw_ev_per_atom": -0.52, "crystal_system": "orthorhombic", "total_energy_ev_per_atom": -6.0359}

(2)
{"formula": "Ba2MgP2N6", "functional": "PBE-GGA", "state": "relaxed", "lattice_angstrom": [[5.8133, 0.0000, 0.0000], [2.9066, 5.0344, 0.0000], [2.9066, 1.6781, 5.8235]], "species": ["Ba", "N", "P", "N", "N", "N", "P", "Ba", "N", "N", "Mg"], "fractional_positions": [[0.7841, 0.7841, 0.6476], [0.7458, 0.7458, 0.2320], [0.4109, 0.4109, 0.7674], [0.7458, 0.2764, 0.2320], [0.2542, 0.7236, 0.7680], [0.7236, 0.2542, 0.7680], [0.5891, 0.5891, 0.2326], [0.2159, 0.2159, 0.3524], [0.2764, 0.7458, 0.2320], [0.2542, 0.2542, 0.7680], [0.0000, 0.0000, 0.0000]], "magmom_total_mub_per_fu": 1.391, "e_form_raw_ev_per_atom": -0.51, "crystal_system": "trigonal", "total_energy_ev_per_atom": -6.5316}

(3)
{"formula": "BaMgPN3", "functional": "PBE-GGA", "state": "relaxed", "lattice_angstrom": [[3.6728, 0.0000, 0.0000], [-1.8364, 6.1753, -0.2679], [0.0000, -2.1443, 7.3555]], "species": ["Ba", "N", "N", "P", "N", "N", "N", "P", "N", "Mg", "Mg", "Ba"], "fractional_positions": [[0.3527, 0.7055, 0.9227], [0.8702, 0.7405, 0.2610], [0.4919, 0.9838, 0.7092], [0.0070, 0.0140, 0.2698], [0.1298, 0.2595, 0.7390], [0.5081, 0.0162, 0.2908], [0.8502, 0.7003, 0.6295], [0.9930, 0.9860, 0.7302], [0.1498, 0.2997, 0.3705], [0.3481, 0.6961, 0.4416], [0.6519, 0.3039, 0.5584], [0.6473, 0.2945, 0.0773]], "magmom_total_mub_per_fu": 0.000, "e_form_raw_ev_per_atom": -0.19, "crystal_system": "monoclinic", "total_energy_ev_per_atom": -5.8366}

(4)
{"formula": "Ba4MgPa3N8", "functional": "PBE-GGA", "state": "relaxed", "lattice_angstrom": [[7.2362, 0.0000, 0.0000], [0.0000, 7.6414, 0.2715], [-3.6181, -3.6093, 5.1251]], "species": ["Pa", "N", "Ba", "N", "N", "N", "Mg", "N", "Ba", "Pa", "Ba", "N", "N", "N", "Pa", "Ba"], "fractional_positions": [[0.5000, 0.5000, 0.0000], [0.7043, 0.6811, 0.9427], [0.0000, 0.0000, 0.0000], [0.2384, 0.6811, 0.9427], [0.7616, 0.3189, 0.0573], [0.7614, 0.3187, 0.5227], [0.0000, 0.5000, 0.0000], [0.2386, 0.6813, 0.4773], [0.5000, 0.0000, 0.0000], [0.5000, 0.5000, 0.5000], [0.5000, 0.0000, 0.5000], [0.2957, 0.3189, 0.0573], [0.2733, 0.3197, 0.5465], [0.7267, 0.6803, 0.4535], [0.0000, 0.5000, 0.5000], [0.0000, 0.0000, 0.5000]], "magmom_total_mub_per_fu": 0.000, "e_form_raw_ev_per_atom": -1.09, "crystal_system": "trigonal", "total_energy_ev_per_atom": -7.6113}

(5)
{"formula": "BaMg2PbN", "functional": "PBE-GGA", "state": "relaxed", "lattice_angstrom": [[4.6607, 0.0000, 0.0000], [0.0000, 5.5839, 0.0000], [0.0000, 0.0000, 4.6607]], "species": ["Mg", "Ba", "Mg", "Pb", "N"], "fractional_positions": [[0.0000, 0.0000, 0.5000], [0.0000, 0.5000, 0.0000], [0.5000, 0.0000, 0.0000], [0.5000, 0.5000, 0.5000], [0.0000, 0.0000, 0.0000]], "magmom_total_mub_per_fu": 0.000, "e_form_raw_ev_per_atom": -0.17, "crystal_system": "tetragonal", "total_energy_ev_per_atom": -3.5991}

(6)
{"formula": "BaPuMgN3", "functional": "PBE-GGA", "state": "relaxed", "lattice_angstrom": [[3.6114, 0.0000, 0.0000], [-1.8057, 6.1931, 0.0000], [0.0000, 0.0000, 9.0642]], "species": ["N", "N", "Mg", "Ba", "N", "N", "Pu", "N", "N", "Ba", "Pu", "Mg"], "fractional_positions": [[0.0460, 0.0919, 0.7500], [0.3939, 0.7877, 0.5430], [0.5400, 0.0801, 0.2500], [0.2781, 0.5563, 0.2500], [0.6061, 0.2123, 0.4570], [0.9540, 0.9081, 0.2500], [0.0000, 0.0000, 0.0000], [0.6061, 0.2123, 0.0430], [0.3939, 0.7877, 0.9570], [0.7219, 0.4437, 0.7500], [0.0000, 0.0000, 0.5000], [0.4600, 0.9199, 0.7500]], "magmom_total_mub_per_fu": 3.000, "e_form_raw_ev_per_atom": -0.81, "crystal_system": "orthorhombic", "total_energy_ev_per_atom": -7.9426}

(7)
{"formula": "Ba2MgReN4", "functional": "PBE-GGA", "state": "relaxed", "lattice_angstrom": [[-4.2778, 2.9442, 0.2615], [-3.0891, -0.4017, 5.6836], [3.3746, 9.1685, 3.6714]], "species": ["N", "Ba", "Re", "Re", "N", "Ba", "N", "N", "N", "N", "Mg", "Mg", "N", "N", "Ba", "Ba"], "fractional_positions": [[0.8649, 0.8119, 0.9054], [0.9257, 0.5000, 0.1485], [0.5000, 0.0000, 0.0000], [0.2500, 0.5000, 0.5000], [0.5823, 0.1881, 0.0946], [0.1757, 0.0000, 0.6485], [0.2296, 0.1881, 0.9054], [0.5204, 0.3119, 0.5946], [0.1677, 0.3119, 0.4054], [0.3232, 0.8119, 0.0946], [0.0000, 0.0000, 0.0000], [0.7500, 0.5000, 0.5000], [0.8851, 0.6881, 0.5946], [0.4268, 0.6881, 0.4054], [0.8243, 0.0000, 0.3515], [0.5743, 0.5000, 0.8515]], "magmom_total_mub_per_fu": 0.000, "e_form_raw_ev_per_atom": -0.43, "crystal_system": "orthorhombic", "total_energy_ev_per_atom": -6.8302}

(8)
{"formula": "Ba3MgRe2N6", "functional": "PBE-GGA", "state": "relaxed", "lattice_angstrom": [[-3.4193, 1.8059, 4.8150], [5.6811, -2.2418, 0.9149], [2.7053, 6.6255, -0.5638]], "species": ["N", "N", "N", "N", "Re", "N", "Ba", "Mg", "Re", "Ba", "N", "Ba"], "fractional_positions": [[0.1690, 0.8310, 0.3029], [0.1690, 0.3379, 0.3029], [0.3379, 0.1690, 0.6971], [0.8310, 0.6621, 0.6971], [0.6667, 0.3333, 0.7531], [0.8310, 0.1690, 0.6971], [0.0000, 0.0000, 0.0000], [0.0000, 0.0000, 0.5000], [0.3333, 0.6667, 0.2469], [0.6667, 0.3333, 0.2992], [0.6621, 0.8310, 0.3029], [0.3333, 0.6667, 0.7008]], "magmom_total_mub_per_fu": 0.000, "e_form_raw_ev_per_atom": -0.67, "crystal_system": "trigonal", "total_energy_ev_per_atom": -7.5192}